(i)
Compound: InH2Se
Source: Alexandria
Functional: PBE-GGA
Structure: relaxed

Cell: 3.9708 6.2023 3.9753 Å, 90.00 90.32 90.00°
With the nearest neighbours (Å) after each atom.
Element x y z (fractional)
In (0.0000, 0.0000, 0.0000)  4 Se 2.80-2.82, 4 H 3.12-3.13
H (0.0889, 0.5000, 0.9320)  1 H 0.75
H (0.9570, 0.5000, 0.0677)  1 H 0.75
Se (0.5003, 0.0000, 0.5005)  4 In 2.80-2.82

Results
N(E_F) (states/eV per cell): 1.22

(ii)
Compound: InH2Se
Source: Alexandria
Functional: PBE-GGA
Structure: relaxed

Cell: 5.9239 5.9239 5.9239 Å, 90.00 90.00 90.00°
With the nearest neighbours (Å) after each atom.
Element x y z (fractional)
In (0.0000, 0.0000, 0.0000)  8 H 2.57
In (0.0000, 0.5000, 0.5000)  8 H 2.57
In (0.5000, 0.0000, 0.5000)  8 H 2.57
In (0.5000, 0.5000, 0.0000)  8 H 2.57
H (0.2500, 0.2500, 0.2500)  4 In 2.57, 4 Se 2.57
H (0.2500, 0.2500, 0.7500)  4 In 2.57, 4 Se 2.57
H (0.2500, 0.7500, 0.2500)  4 In 2.57, 4 Se 2.57
H (0.2500, 0.7500, 0.7500)  4 In 2.57, 4 Se 2.57
H (0.7500, 0.2500, 0.2500)  4 In 2.57, 4 Se 2.57
H (0.7500, 0.2500, 0.7500)  4 In 2.57, 4 Se 2.57
H (0.7500, 0.7500, 0.2500)  4 In 2.57, 4 Se 2.57
H (0.7500, 0.7500, 0.7500)  4 In 2.57, 4 Se 2.57
Se (0.0000, 0.0000, 0.5000)  8 H 2.57
Se (0.0000, 0.5000, 0.0000)  8 H 2.57
Se (0.5000, 0.0000, 0.0000)  8 H 2.57
Se (0.5000, 0.5000, 0.5000)  8 H 2.57

Results
N(E_F) (states/eV per cell): 10.63

(iii)
Compound: InH2Se
Source: Alexandria
Functional: PBE-GGA
Structure: relaxed

Cell: 5.7338 5.7338 8.1512 Å, 90.00 90.00 90.00°
With the nearest neighbours (Å) after each atom.
Element x y z (fractional)
In (0.0000, 0.2500, 0.3750)  12 H 3.36-3.38, 4 Se 3.52, 4 In 3.52
In (0.0000, 0.7500, 0.6250)  12 H 3.36-3.38, 4 Se 3.52, 4 In 3.52
In (0.5000, 0.2500, 0.1250)  12 H 3.36-3.38, 4 Se 3.52, 4 In 3.52
In (0.5000, 0.7500, 0.8750)  12 H 3.36-3.38, 4 In 3.52, 4 Se 3.52
H (0.0000, 0.0000, 0.0000)  2 Se 1.76
H (0.0000, 0.5000, 0.0000)  2 Se 1.76
H (0.2500, 0.2500, 0.7500)  2 Se 1.76
H (0.2500, 0.7500, 0.2500)  2 Se 1.76
H (0.5000, 0.0000, 0.5000)  2 Se 1.76
H (0.5000, 0.5000, 0.5000)  2 Se 1.76
H (0.7500, 0.2500, 0.7500)  2 Se 1.76
H (0.7500, 0.7500, 0.2500)  2 Se 1.76
Se (0.0000, 0.2500, 0.8750)  4 H 1.76
Se (0.0000, 0.7500, 0.1250)  4 H 1.76
Se (0.5000, 0.2500, 0.6250)  4 H 1.76
Se (0.5000, 0.7500, 0.3750)  4 H 1.76

Results
N(E_F) (states/eV per cell): 7.60

Name the least stable of them. (ii).

(i)
Compound: InHSe3
Source: Alexandria
Functional: PBE-GGA
Structure: relaxed

Cell: 4.5261 4.5261 4.5261 Å, 90.00 90.00 90.00°
With the nearest neighbours (Å) after each atom.
Element x y z (fractional)
In (0.0000, 0.0000, 0.0000)  12 Se 3.20
H (0.5000, 0.5000, 0.5000)  6 Se 2.26
Se (0.0000, 0.5000, 0.5000)  2 H 2.26
Se (0.5000, 0.0000, 0.5000)  2 H 2.26
Se (0.5000, 0.5000, 0.0000)  2 H 2.26

Results
N(E_F) (states/eV per cell): 4.29

(ii)
Compound: InHSe3
Source: Alexandria
Functional: PBE-GGA
Structure: relaxed

Cell: 5.3984 5.3984 5.3984 Å, 90.00 90.00 90.00°
With the nearest neighbours (Å) after each atom.
Element x y z (fractional)
In (0.0000, 0.0000, 0.0000)  6 Se 2.70
H (0.5000, 0.5000, 0.5000)  12 Se 3.82
Se (0.0000, 0.0000, 0.5000)  2 In 2.70
Se (0.0000, 0.5000, 0.0000)  2 In 2.70
Se (0.5000, 0.0000, 0.0000)  2 In 2.70

Results
N(E_F) (states/eV per cell): 3.66

Name the least stable of them. (ii).

(i)
Compound: InSi2H
Source: Alexandria
Functional: PBE-GGA
Structure: relaxed

Cell: 4.5089 4.5089 13.4210 Å, 90.00 90.00 90.00°
With the nearest neighbours (Å) after each atom.
Element x y z (fractional)
In (0.0000, 0.0000, 0.0000)  4 Si 2.70
In (0.0000, 0.5000, 0.2500)  4 Si 2.70
In (0.5000, 0.0000, 0.7500)  4 Si 2.70
In (0.5000, 0.5000, 0.5000)  4 Si 2.70
Si (0.1031, 0.2500, 0.6250)  2 H 2.07
Si (0.2500, 0.6031, 0.8750)  2 H 2.07
Si (0.2500, 0.8969, 0.3750)  2 H 2.07
Si (0.3969, 0.2500, 0.1250)  2 H 2.07
Si (0.6031, 0.7500, 0.1250)  2 H 2.07
Si (0.7500, 0.1031, 0.3750)  2 H 2.07
Si (0.7500, 0.3969, 0.8750)  2 H 2.07
Si (0.8969, 0.7500, 0.6250)  2 H 2.07
H (0.0000, 0.0000, 0.5000)  4 Si 2.07
H (0.0000, 0.5000, 0.7500)  4 Si 2.07
H (0.5000, 0.0000, 0.2500)  4 Si 2.07
H (0.5000, 0.5000, 0.0000)  4 Si 2.07

Results
N(E_F) (states/eV per cell): 3.02

(ii)
Compound: InSi2H
Source: Alexandria
Functional: PBE-GGA
Structure: relaxed

Cell: 6.3881 6.3881 6.3881 Å, 90.00 90.00 90.00°
With the nearest neighbours (Å) after each atom.
Element x y z (fractional)
In (0.0000, 0.0000, 0.0000)  8 Si 2.77
In (0.0000, 0.5000, 0.5000)  8 Si 2.77
In (0.5000, 0.0000, 0.5000)  8 Si 2.77
In (0.5000, 0.5000, 0.0000)  8 Si 2.77
Si (0.2500, 0.2500, 0.2500)  4 In 2.77, 4 H 2.77
Si (0.2500, 0.2500, 0.7500)  4 H 2.77, 4 In 2.77
Si (0.2500, 0.7500, 0.2500)  4 H 2.77, 4 In 2.77
Si (0.2500, 0.7500, 0.7500)  4 In 2.77, 4 H 2.77
Si (0.7500, 0.2500, 0.2500)  4 H 2.77, 4 In 2.77
Si (0.7500, 0.2500, 0.7500)  4 In 2.77, 4 H 2.77
Si (0.7500, 0.7500, 0.2500)  4 In 2.77, 4 H 2.77
Si (0.7500, 0.7500, 0.7500)  4 H 2.77, 4 In 2.77
H (0.0000, 0.0000, 0.5000)  8 Si 2.77
H (0.0000, 0.5000, 0.0000)  8 Si 2.77
H (0.5000, 0.0000, 0.0000)  8 Si 2.77
H (0.5000, 0.5000, 0.5000)  8 Si 2.77

Results
N(E_F) (states/eV per cell): 5.37

Name the least stable of them. (ii).

(i)
Compound: InSiH3
Source: Alexandria
Functional: PBE-GGA
Structure: relaxed

Cell: 3.9320 3.9320 3.9320 Å, 90.00 90.00 90.00°
With the nearest neighbours (Å) after each atom.
Element x y z (fractional)
In (0.0000, 0.0000, 0.0000)  6 H 1.97
Si (0.5000, 0.5000, 0.5000)  12 H 2.78
H (0.0000, 0.0000, 0.5000)  2 In 1.97
H (0.0000, 0.5000, 0.0000)  2 In 1.97
H (0.5000, 0.0000, 0.0000)  2 In 1.97

Results
N(E_F) (states/eV per cell): 2.35

(ii)
Compound: InSiH3
Source: Alexandria
Functional: PBE-GGA
Structure: relaxed

Cell: 3.7983 3.7983 3.7983 Å, 90.00 90.00 90.00°
With the nearest neighbours (Å) after each atom.
Element x y z (fractional)
In (0.0000, 0.0000, 0.0000)  12 H 2.69
Si (0.5000, 0.5000, 0.5000)  6 H 1.90
H (0.0000, 0.5000, 0.5000)  2 Si 1.90
H (0.5000, 0.0000, 0.5000)  2 Si 1.90
H (0.5000, 0.5000, 0.0000)  2 Si 1.90

Results
N(E_F) (states/eV per cell): 1.32

Name the least stable of them. (i).

(i)
Compound: InSi3H
Source: Alexandria
Functional: PBE-GGA
Structure: relaxed

Cell: 5.2162 5.2162 5.2162 Å, 90.00 90.00 90.00°
With the nearest neighbours (Å) after each atom.
Element x y z (fractional)
In (0.0000, 0.0000, 0.0000)  6 Si 2.61
Si (0.0000, 0.0000, 0.5000)  2 In 2.61
Si (0.0000, 0.5000, 0.0000)  2 In 2.61
Si (0.5000, 0.0000, 0.0000)  2 In 2.61
H (0.5000, 0.5000, 0.5000)  12 Si 3.69

Results
N(E_F) (states/eV per cell): 2.74

(ii)
Compound: InSi3H
Source: Alexandria
Functional: PBE-GGA
Structure: relaxed

Cell: 4.2133 4.2133 4.2133 Å, 90.00 90.00 90.00°
With the nearest neighbours (Å) after each atom.
Element x y z (fractional)
In (0.0000, 0.0000, 0.0000)  12 Si 2.98
Si (0.0000, 0.5000, 0.5000)  2 H 2.11
Si (0.5000, 0.0000, 0.5000)  2 H 2.11
Si (0.5000, 0.5000, 0.0000)  2 H 2.11
H (0.5000, 0.5000, 0.5000)  6 Si 2.11

Results
N(E_F) (states/eV per cell): 1.43

Name the least stable of them. (i).

(i)
Compound: SmInH
Source: Alexandria
Functional: PBE-GGA
Structure: relaxed

Cell: 3.7219 3.7219 5.3978 Å, 90.00 90.00 120.00°
With the nearest neighbours (Å) after each atom.
Element x y z (fractional)
Sm (0.0000, 0.0000, 0.0000)  3 H 2.15
In (0.3333, 0.6667, 0.5000)  6 H 3.44-3.46, 6 Sm 3.45, 6 In 3.72
H (0.6667, 0.3333, 0.9968)  3 Sm 2.15

Results
N(E_F) (states/eV per cell): 2.07

(ii)
Compound: SmInH
Source: Alexandria
Functional: PBE-GGA
Structure: relaxed

Cell: 10.8416 10.8416 4.2968 Å, 90.00 90.00 90.00°
With the nearest neighbours (Å) after each atom.
Element x y z (fractional)
Sm (0.1017, 0.1633, 0.0000)  3 H 2.26-2.32
Sm (0.1633, 0.8983, 0.5000)  3 H 2.26-2.32
Sm (0.3367, 0.3983, 0.5000)  3 H 2.26-2.32
Sm (0.3983, 0.6633, 0.0000)  3 H 2.26-2.32
Sm (0.6017, 0.3367, 0.0000)  3 H 2.26-2.32
Sm (0.6633, 0.6017, 0.5000)  3 H 2.26-2.32
Sm (0.8367, 0.1017, 0.5000)  3 H 2.26-2.32
Sm (0.8983, 0.8367, 0.0000)  3 H 2.26-2.32
In (0.0035, 0.6437, 0.5000)  5 In 3.04-3.12, 1 H 3.04, 3 Sm 3.21-3.26
In (0.1437, 0.5035, 0.0000)  5 In 3.04-3.12, 1 H 3.04, 3 Sm 3.21-3.26
In (0.3563, 0.0035, 0.0000)  5 In 3.04-3.12, 1 H 3.04, 3 Sm 3.21-3.26
In (0.4965, 0.1437, 0.5000)  5 In 3.04-3.12, 1 H 3.04, 3 Sm 3.21-3.26
In (0.5035, 0.8563, 0.5000)  5 In 3.04-3.12, 1 H 3.04, 3 Sm 3.21-3.26
In (0.6437, 0.9965, 0.0000)  5 In 3.04-3.12, 1 H 3.04, 3 Sm 3.21-3.26
In (0.8563, 0.4965, 0.0000)  5 In 3.04-3.12, 1 H 3.04, 3 Sm 3.21-3.26
In (0.9965, 0.3563, 0.5000)  5 In 3.04-3.12, 1 H 3.04, 3 Sm 3.21-3.26
H (0.0752, 0.0868, 0.5000)  3 Sm 2.26-2.32, 1 H 2.49
H (0.0868, 0.9248, 0.0000)  3 Sm 2.26-2.32, 1 H 2.49
H (0.4132, 0.4248, 0.0000)  3 Sm 2.26-2.32, 1 H 2.49
H (0.4248, 0.5868, 0.5000)  3 Sm 2.26-2.32, 1 H 2.49
H (0.5752, 0.4132, 0.5000)  3 Sm 2.26-2.32, 1 H 2.49
H (0.5868, 0.5752, 0.0000)  3 Sm 2.26-2.32, 1 H 2.49
H (0.9132, 0.0752, 0.0000)  3 Sm 2.26-2.32, 1 H 2.49
H (0.9248, 0.9132, 0.5000)  3 Sm 2.26-2.32, 1 H 2.49

Results
N(E_F) (states/eV per cell): 14.18

Name the least stable of them. (ii).

(i)
Compound: SmInH
Source: Alexandria
Functional: PBE-GGA
Structure: relaxed

Cell: 3.2507 3.2507 11.8090 Å, 90.00 90.00 90.00°
With the nearest neighbours (Å) after each atom.
Element x y z (fractional)
Sm (0.0000, 0.0000, 0.0000)  4 H 2.34
Sm (0.5000, 0.5000, 0.5000)  4 H 2.34
In (0.0000, 0.0000, 0.7230)  1 H 3.06, 4 In 3.25, 1 Sm 3.27
In (0.5000, 0.5000, 0.2230)  1 H 3.06, 4 In 3.25, 1 Sm 3.27
H (0.0000, 0.0000, 0.4640)  4 Sm 2.34
H (0.5000, 0.5000, 0.9640)  4 Sm 2.34

Results
N(E_F) (states/eV per cell): 4.31

(ii)
Compound: SmInH
Source: Alexandria
Functional: PBE-GGA
Structure: relaxed

Cell: 4.0071 4.5224 6.7141 Å, 90.00 107.31 90.00°
With the nearest neighbours (Å) after each atom.
Element x y z (fractional)
Sm (0.1659, 0.2500, 0.3334)  4 H 2.31-2.46
Sm (0.8341, 0.7500, 0.6666)  4 H 2.31-2.46
In (0.4341, 0.2500, 0.8688)  2 In 2.82, 2 H 3.02-3.03
In (0.5659, 0.7500, 0.1312)  2 In 2.82, 2 H 3.02-3.03
H (0.2429, 0.7500, 0.4851)  4 Sm 2.31-2.46
H (0.7571, 0.2500, 0.5149)  4 Sm 2.31-2.46

Results
N(E_F) (states/eV per cell): 2.63

Name the least stable of them. (i).